No. 1
# Hg3Au

A relaxed structure of Hg3Au (PBE, the Alexandria database).

Structure (POSCAR):
```
Hg3Au
1.0
-3.0175 2.1357 -1.3481
-1.4865 -2.5858 -0.7692
-3.4732 -0.2146 7.4339
Hg Au
3 1
direct
0.0000 0.5000 0.4624
0.5000 0.5000 0.1719
0.5000 0.0000 0.7200
0.0000 0.0000 0.9791
```

Computed properties:
N(E_F): 1.15 states/eV per cell
DFT formation energy: 0.079 eV/atom
energy relative to the lowest polymorph listed for this composition: 0.23 eV/f.u.


No. 2
# Tb2NpGa2Ru5

A relaxed structure of Tb2NpGa2Ru5 (PBE, the Alexandria database).

Structure (POSCAR):
```
Tb2NpGa2Ru5
1.0
-2.2416 -2.0859 -1.5283
5.0912 0.9162 -8.7174
5.7225 -7.9837 2.5031
Ga Ru Np Tb
4 10 2 4
direct
0.0000 0.1278 0.6278
0.0000 0.6278 0.8722
0.0000 0.3722 0.1278
0.0000 0.8722 0.3722
0.5000 0.4333 0.3021
0.5000 0.8021 0.9333
0.5000 0.5000 0.0000
0.5000 0.1979 0.0667
0.5000 0.5667 0.6979
0.5000 0.3021 0.5667
0.5000 0.0667 0.8021
0.5000 0.6979 0.4333
0.5000 0.9333 0.1979
0.5000 0.0000 0.5000
0.0000 0.5000 0.5000
0.0000 0.0000 0.0000
0.0000 0.6688 0.1688
0.0000 0.8312 0.6688
0.0000 0.3312 0.8312
0.0000 0.1688 0.3312
```

Computed properties:
N(E_F): 16.44 states/eV per cell
DFT formation energy: -0.373 eV/atom


No. 3
# RbMgNb

A relaxed structure of RbMgNb (PBE, the Alexandria database).

Structure (POSCAR):
```
RbMgNb
1.0
5.0175 -2.8968 0.0000
0.0000 5.7937 0.0000
0.0000 0.0000 2.9246
Mg Nb Rb
1 1 1
direct
0.0000 0.0000 0.0000
0.3333 0.6667 0.0000
0.6667 0.3333 0.5000
```

Computed properties:
N(E_F): 2.29 states/eV per cell
DFT formation energy: 1.276 eV/atom
energy relative to the lowest polymorph listed for this composition: 2.68 eV/f.u.


No. 4
# Nb2AlOs

A relaxed structure of Nb2AlOs (PBE, the Alexandria database).

Structure (POSCAR):
```
Nb2AlOs
1.0
7.5099 0.0000 0.0000
0.0000 7.5099 0.0000
3.7549 3.7549 2.6478
Nb Al Os
4 2 2
direct
0.6673 0.1250 0.2500
0.8750 0.9173 0.7500
0.0827 0.6250 0.2500
0.3750 0.3327 0.7500
0.5000 0.5000 0.0000
0.2500 0.7500 0.5000
0.0000 0.0000 0.0000
0.7500 0.2500 0.5000
```

Computed properties:
N(E_F): 9.55 states/eV per cell
DFT formation energy: 0.336 eV/atom


No. 5
# Hf6In2P

A relaxed structure of Hf6In2P (PBE, the Alexandria database).

Structure (POSCAR):
```
Hf6In2P
1.0
5.8284 0.0000 0.2895
0.0000 7.1494 0.0000
-0.3696 0.0000 9.3577
Hf P In
12 2 4
direct
0.1331 0.2946 0.0340
0.6474 0.1670 0.9655
0.3669 0.7946 0.4660
0.3526 0.8330 0.0345
0.1474 0.3330 0.4655
0.8669 0.7054 0.9660
0.8526 0.6670 0.5345
0.6277 0.4764 0.2644
0.8723 0.9764 0.2356
0.3723 0.5236 0.7356
0.6331 0.2054 0.5340
0.1277 0.0236 0.7644
0.5000 0.5000 0.0000
0.0000 0.0000 0.5000
0.6040 0.8934 0.7424
0.3960 0.1066 0.2576
0.8960 0.3934 0.7576
0.1040 0.6066 0.2424
```

Computed properties:
N(E_F): 15.43 states/eV per cell
DFT formation energy: -0.261 eV/atom


No. 6
# ScCr2

A relaxed structure of ScCr2 (PBE, the Alexandria database).

Structure (POSCAR):
```
ScCr2
1.0
-0.9922 2.5775 -1.1927
0.1118 -1.2270 -2.7446
-4.2042 -2.2292 2.4741
Cr Sc
2 1
direct
0.6936 0.6936 0.3873
0.3064 0.3064 0.6127
0.0000 0.0000 0.0000
```

Computed properties:
N(E_F): 4.38 states/eV per cell
DFT formation energy: 0.194 eV/atom


No. 7
# In12Ge5Se3

A relaxed structure of In12Ge5Se3 (PBE, the Alexandria database).

Structure (POSCAR):
```
In12Ge5Se3
1.0
-12.0329 -7.1487 4.1115
11.1397 -9.3710 -0.9438
3.1345 10.3047 9.8380
Ge In Se
20 48 12
direct
0.8750 0.2500 0.6250
0.0000 0.5000 0.5000
0.8750 0.6250 0.7500
0.2500 0.8750 0.1250
0.2500 0.3750 0.6250
0.0000 0.0000 0.0000
0.1250 0.3750 0.2500
0.7500 0.6250 0.3750
0.5000 0.5000 0.0000
0.3750 0.1250 0.7500
0.5000 0.0000 0.5000
0.3750 0.2500 0.1250
0.5000 0.0000 0.0000
0.0000 0.5000 0.0000
0.5000 0.5000 0.5000
0.1250 0.7500 0.3750
0.0000 0.0000 0.5000
0.7500 0.1250 0.8750
0.6250 0.7500 0.8750
0.6250 0.8750 0.2500
0.4110 0.1327 0.5811
0.7784 0.3299 0.9110
0.1327 0.4110 0.0811
0.0515 0.4189 0.8299
0.5890 0.7216 0.6701
0.0811 0.1701 0.4485
0.9189 0.8299 0.5515
0.8299 0.9110 0.2784
0.7216 0.1327 0.0515
0.4189 0.3673 0.5890
0.4110 0.2784 0.3299
0.0811 0.9110 0.1327
0.4485 0.6701 0.0811
0.0890 0.9189 0.3673
0.1701 0.0811 0.9485
0.3299 0.7784 0.4110
0.6327 0.5811 0.9110
0.4189 0.0515 0.3299
0.0515 0.6327 0.7216
0.8673 0.5890 0.9189
0.9110 0.8299 0.7784
0.9485 0.3673 0.2784
0.5811 0.9485 0.6701
0.6701 0.2216 0.5890
0.2784 0.4110 0.8299
0.1701 0.0890 0.7216
0.4485 0.7784 0.8673
0.0890 0.1701 0.2216
0.1327 0.7216 0.5515
0.5515 0.2216 0.1327
0.8673 0.2784 0.4485
0.3673 0.9485 0.7784
0.6701 0.4485 0.5811
0.6327 0.0515 0.2216
0.9110 0.0811 0.6327
0.2216 0.6701 0.0890
0.2784 0.8673 0.9485
0.7784 0.4485 0.3673
0.5811 0.6327 0.4110
0.9485 0.5811 0.1701
0.5890 0.8673 0.4189
0.7216 0.5890 0.1701
0.5515 0.3299 0.9189
0.9189 0.0890 0.8673
0.3299 0.5515 0.4189
0.2216 0.5515 0.6327
0.8299 0.9189 0.0515
0.3673 0.4189 0.0890
0.8750 0.1250 0.2500
0.6250 0.3750 0.7500
0.8750 0.7500 0.1250
0.7500 0.8750 0.6250
0.3750 0.7500 0.6250
0.3750 0.6250 0.2500
0.2500 0.1250 0.3750
0.2500 0.6250 0.8750
0.7500 0.3750 0.1250
0.1250 0.8750 0.7500
0.1250 0.2500 0.8750
0.6250 0.2500 0.3750
```

Computed properties:
N(E_F): 27.72 states/eV per cell
energy relative to the elements, uncorrected: 94.5 meV/atom


No. 8
# Pu5TaGe4

A relaxed structure of Pu5TaGe4 (PBE, the Alexandria database).

Structure (POSCAR):
```
Pu5TaGe4
1.0
4.3245 0.0000 0.0000
0.0000 6.6991 2.0780
-2.1622 0.1793 6.9862
Pu Ta Ge
5 1 4
direct
0.8364 0.2684 0.6729
0.1636 0.7316 0.3271
0.2316 0.3546 0.4631
0.7684 0.6454 0.5369
0.5000 0.5000 0.0000
0.5000 0.0000 0.0000
0.9499 0.8000 0.8999
0.6772 0.0823 0.3544
0.3228 0.9177 0.6456
0.0501 0.2000 0.1001
```

Computed properties:
N(E_F): 25.48 states/eV per cell
DFT formation energy: -0.099 eV/atom


No. 9
# Al2V

A relaxed structure of Al2V (PBE, the Alexandria database).

Structure (POSCAR):
```
Al2V
1.0
-1.1981 2.6217 -0.4469
-1.6022 -0.0482 4.0128
6.4413 1.7630 2.5930
V Al
2 4
direct
0.3972 0.7500 0.7945
0.6028 0.2500 0.2055
0.7332 0.7500 0.4664
0.9400 0.2500 0.8799
0.2668 0.2500 0.5336
0.0600 0.7500 0.1201
```

Computed properties:
N(E_F): 4.28 states/eV per cell
DFT formation energy: -0.145 eV/atom


No. 10
# LaIO3

A relaxed structure of LaIO3 (PBE, the Alexandria database).

Structure (POSCAR):
```
LaIO3
1.0
4.3560 0.0000 0.0000
0.0000 4.3560 0.0000
0.0000 0.0000 4.3560
La O I
1 3 1
direct
0.5000 0.5000 0.5000
0.5000 0.0000 0.0000
0.0000 0.5000 0.0000
0.0000 0.0000 0.5000
0.0000 0.0000 0.0000
```

Computed properties:
N(E_F): 3.92 states/eV per cell
energy relative to the elements, uncorrected: -940.7 meV/atom


No. 11
# LiCr2Pd

A relaxed structure of LiCr2Pd (PBE, the Alexandria database).

Structure (POSCAR):
```
LiCr2Pd
1.0
-2.8149 1.1759 -6.2000
-0.4808 -6.8091 -1.0731
-3.7315 -2.8185 -2.6909
Cr Pd Li
4 2 2
direct
0.3750 0.3668 0.7500
0.6332 0.1250 0.2500
0.8750 0.8832 0.7500
0.1168 0.6250 0.2500
0.0000 0.0000 0.0000
0.7500 0.2500 0.5000
0.5000 0.5000 0.0000
0.2500 0.7500 0.5000
```

Computed properties:
N(E_F): 8.20 states/eV per cell
DFT formation energy: 0.762 eV/atom
energy relative to the lowest polymorph listed for this composition: 0.26 eV/f.u.


No. 12
# Ba2ZrRu

A relaxed structure of Ba2ZrRu (PBE, the Alexandria database).

Structure (POSCAR):
```
Ba2ZrRu
1.0
0.0000 3.8939 3.8939
3.8939 0.0000 3.8939
3.8939 3.8939 0.0000
Ba Ru Zr
2 1 1
direct
0.7500 0.7500 0.7500
0.2500 0.2500 0.2500
0.5000 0.5000 0.5000
0.0000 0.0000 0.0000
```

Computed properties:
N(E_F): 8.51 states/eV per cell
DFT formation energy: 1.039 eV/atom
energy relative to the lowest polymorph listed for this composition: 3.75 eV/f.u.


No. 13
# Nd4InGaO

A relaxed structure of Nd4InGaO (PBE, the Alexandria database).

Structure (POSCAR):
```
Nd4InGaO
1.0
6.7468 0.0000 0.0000
0.0000 6.7655 0.0000
-3.3734 0.0000 8.4100
Nd O In Ga
8 2 2 2
direct
0.9376 0.2500 0.8752
0.5000 0.0000 0.5000
0.5000 0.5000 0.5000
0.0000 0.0000 0.5000
0.5810 0.2500 0.1620
0.0624 0.7500 0.1248
0.0000 0.5000 0.5000
0.4190 0.7500 0.8380
0.2679 0.7500 0.5357
0.7321 0.2500 0.4643
0.3902 0.2500 0.7804
0.6098 0.7500 0.2196
0.1185 0.2500 0.2370
0.8815 0.7500 0.7630
```

Computed properties:
N(E_F): 5.36 states/eV per cell
energy relative to the elements, uncorrected: -1060.4 meV/atom


No. 14
# Y2NiAu

A relaxed structure of Y2NiAu (PBE, the Alexandria database).

Structure (POSCAR):
```
Y2NiAu
1.0
-1.5329 3.8514 -1.8045
-3.0533 -1.8171 -1.2846
-4.0546 0.1855 3.8402
Y Ni Au
2 1 1
direct
0.0000 0.9860 0.9027
0.5000 0.2663 0.3426
0.5000 0.5446 0.7861
0.0000 0.7031 0.4686
```

Computed properties:
N(E_F): 2.29 states/eV per cell
DFT formation energy: -0.635 eV/atom


No. 15
# VCuSn2

A relaxed structure of VCuSn2 (PBE, the Alexandria database).

Structure (POSCAR):
```
VCuSn2
1.0
3.2898 0.0000 0.0000
0.0000 4.7438 0.0000
0.0000 0.0000 4.7438
Sn Cu V
2 1 1
direct
0.0000 0.0000 0.5000
0.0000 0.5000 0.0000
0.5000 0.5000 0.5000
0.5000 0.0000 0.0000
```

Computed properties:
N(E_F): 3.76 states/eV per cell
DFT formation energy: 0.209 eV/atom
energy relative to the lowest polymorph listed for this composition: 0.00 eV/f.u.


No. 16
# YTeRh

A relaxed structure of YTeRh (PBE, the Alexandria database).

Structure (POSCAR):
```
YTeRh
1.0
4.4744 0.0000 0.0000
-2.2372 3.8749 0.0000
0.0000 0.0000 3.8927
Y Rh Te
1 1 1
direct
0.3333 0.6667 0.6772
0.0000 0.0000 0.1344
0.6667 0.3333 0.1883
```

Computed properties:
N(E_F): 1.39 states/eV per cell
energy relative to the elements, uncorrected: -995.5 meV/atom


No. 17
# VCoRh3

A relaxed structure of VCoRh3 (PBE, the Alexandria database).

Structure (POSCAR):
```
VCoRh3
1.0
3.6172 -0.4972 1.1095
0.4722 3.7744 0.1524
-0.8749 -0.2653 9.2821
Rh Co V
6 2 2
direct
0.9557 0.3444 0.8070
0.4553 0.8444 0.8076
0.1514 0.3444 0.4159
0.7626 0.3444 0.1926
0.2597 0.8444 0.1986
0.6485 0.8444 0.4219
0.3564 0.3444 0.0052
0.0546 0.8444 0.6094
0.5551 0.3445 0.6086
0.8561 0.8445 0.0059
```

Computed properties:
N(E_F): 10.73 states/eV per cell
DFT formation energy: -0.228 eV/atom
energy relative to the lowest polymorph listed for this composition: 0.00 eV/f.u.


No. 18
# Li2HgRu

A relaxed structure of Li2HgRu (PBE, the Alexandria database).

Structure (POSCAR):
```
Li2HgRu
1.0
4.4947 0.0000 0.0000
2.2474 3.8925 0.0000
2.2474 1.2975 3.6699
Hg Li Ru
1 2 1
direct
0.5000 0.5000 0.5000
0.0000 0.0000 0.0000
0.7500 0.7500 0.7500
0.2500 0.2500 0.2500
```

Computed properties:
N(E_F): 5.77 states/eV per cell
DFT formation energy: 0.191 eV/atom


No. 19
# Ni2SbP

A relaxed structure of Ni2SbP (PBE, the Alexandria database).

Structure (POSCAR):
```
Ni2SbP
1.0
4.1486 0.0000 0.0000
0.0000 4.1486 0.0000
0.0000 0.0000 3.4035
Sb Ni P
1 2 1
direct
0.0000 0.0000 0.5000
0.0000 0.5000 0.0000
0.5000 0.0000 0.0000
0.5000 0.5000 0.5000
```

Computed properties:
N(E_F): 2.01 states/eV per cell
energy relative to the elements, uncorrected: 139.1 meV/atom
energy relative to the lowest polymorph listed for this composition: 1.80 eV/f.u.


No. 20
# ZnCr4Se8

A relaxed structure of ZnCr4Se8 (PBE, the Alexandria database).

Structure (POSCAR):
```
ZnCr4Se8
1.0
6.3393 0.0000 3.6600
2.1131 5.9768 3.6600
0.0000 0.0000 7.3200
Cr Se Zn
4 8 1
direct
0.3666 0.9002 0.3666
0.9002 0.3666 0.3666
0.3666 0.3666 0.9002
0.3666 0.3666 0.3666
0.1585 0.6138 0.6138
0.6138 0.6138 0.1585
0.1273 0.6180 0.1273
0.1273 0.1273 0.1273
0.6180 0.1273 0.1273
0.6138 0.6138 0.6138
0.1273 0.1273 0.6180
0.6138 0.1585 0.6138
0.7500 0.7500 0.7500
```

Computed properties:
N(E_F): 2.48 states/eV per cell
energy relative to the elements, uncorrected: -540.1 meV/atom


Number 1: E -0.967 eV per atom. Number 2: E -7.836 eV per atom. Number 3: E -2.935 eV per atom. Number 4: E -8.442 eV per atom. Number 5: E -8.107 eV per atom. Number 6: E -8.332 eV per atom. Number 7: E -3.226 eV per atom. Number 8: E -10.297 eV per atom. Number 9: E -5.679 eV per atom. Number 10: E -5.211 eV per atom. Number 11: E -5.827 eV per atom. Number 12: E -4.378 eV per atom. Number 13: E -5.317 eV per atom. Number 14: E -6.132 eV per atom. Number 15: E -5.096 eV per atom. Number 16: E -6.648 eV per atom. Number 17: E -7.884 eV per atom. Number 18: E -3.160 eV per atom. Number 19: E -5.135 eV per atom. Number 20: E -5.743 eV per atom.